## HoNpAgS4 (PBE)

Data for a relaxed structure of HoNpAgS4.

Computed properties:
The value obtained for the total magnetization is 6.0 μB per cell. The calculation puts the raw formation energy at -29.9 kcal/mol of atoms.

a b c (Å): 8.0431 7.9326 7.8749
angles (deg): 119.76 90.00 120.46
With the nearest neighbours (Å) after each atom.
Fractional positions:
Ho: 0.5000 0.0000 0.5000  6 S 2.72-2.74
Ho: 0.5000 0.0000 0.0000  6 S 2.72-2.74
Np: 0.5000 0.5000 0.5000  6 S 2.68-2.71
Np: 0.0000 0.5000 0.5000  6 S 2.68-2.71
Ag: 0.8807 0.7614 0.1307  4 S 2.59-2.62
Ag: 0.1193 0.2386 0.8693  4 S 2.59-2.62
S: 0.7443 0.4886 0.7243  1 Ag 2.62, 2 Np 2.71, 1 Ho 2.74
S: 0.2769 0.0211 0.2605  1 Ag 2.59, 1 Np 2.68, 2 Ho 2.72
S: 0.7442 0.0211 0.2605  1 Ag 2.59, 1 Np 2.68, 2 Ho 2.72
S: 0.7443 0.4886 0.2643  1 Ag 2.62, 2 Np 2.71, 1 Ho 2.74
S: 0.2557 0.5114 0.7357  1 Ag 2.62, 2 Np 2.71, 1 Ho 2.74
S: 0.7231 0.9789 0.7395  1 Ag 2.59, 1 Np 2.68, 2 Ho 2.72
S: 0.2558 0.9789 0.7395  1 Ag 2.59, 1 Np 2.68, 2 Ho 2.72
S: 0.2557 0.5114 0.2757  1 Ag 2.62, 2 Np 2.71, 1 Ho 2.74